Computed, not measured: a relaxed structure of CrGaSb2Ru at the PBE-GGA level of DFT.

For the total energy, the calculation gives -23.62 eV for the cell shown. Its uncorrected formation energy is 1.310 eV per atom. The density of states at the Fermi level comes out at 4.14 states/eV/f.u.

POSCAR file:
```
CrGaSb2Ru
1.0
5.149 0.000 0.000
0.000 5.149 0.000
0.000 0.000 4.595
Cr Ga Sb Ru
1 1 2 1
Direct
0.000 0.000 0.000 Cr
0.000 0.000 0.500 Ga
0.000 0.500 0.500 Sb
0.500 0.000 0.500 Sb
0.500 0.500 0.000 Ru
```

---

Computed, not measured: a relaxed structure of AcMgInAg at the PBE-GGA level of DFT.

The value obtained for the energy of formation from the pure elements is -0.28 eV per atom. For the total energy, the calculation gives -12.41 eV for the cell shown. The density of states at the Fermi level comes out at 2.25 states/eV/f.u.

POSCAR file:
```
AcMgInAg
1.0
0.000 3.791 3.791
3.791 0.000 3.791
3.791 3.791 0.000
Ac Mg In Ag
1 1 1 1
Direct
0.000 0.000 0.000 Ac
0.500 0.500 0.500 Mg
0.750 0.750 0.750 In
0.250 0.250 0.250 Ag
```